{
  "formula": "Ta2CrCl",
  "functional": "PBE",
  "state": "relaxed",
  "magnetic_moment_mub_per_cell": 1.68,
  "energy_ev_per_cell": -34.02,
  "lattice_angstrom": [[3.141, 0.000, 0.000], [0.000, 3.141, 0.000], [0.000, 0.000, 7.607]],
  "species": ["Ta", "Ta", "Cr", "Cl"],
  "fractional_positions": [[0.000, 0.000, 0.000], [0.500, 0.500, 0.237], [0.500, 0.500, 0.825], [0.000, 0.000, 0.475]]
}